Entry from Alexandria via LeMat-Bulk: a geometry-optimized Tl3Re structure (PBE).

Lattice parameters (Å, degrees): 3.748 8.418 6.347 90.00 90.00 90.00
Element x y z (fractional)
Tl (0.500, 0.448, 0.000)
Tl (0.000, 0.552, 0.500)
Tl (0.000, 0.156, 0.231)
Tl (0.000, 0.156, 0.769)
Tl (0.500, 0.844, 0.731)
Tl (0.500, 0.844, 0.269)
Re (0.000, 0.704, 0.000)
Re (0.500, 0.296, 0.500)

Computed properties:
Theoretical density = 13.26 g/cm³
Symmetry = Pmmn
M_tot = 0.0 μB per cell
Formation energy from the elements = 0.967 eV per atom